Record 1
Below is a relaxed EuSbTe2 crystal, with properties calculated at the GGA-PBE level.

## Properties
DFT total energy = -5.8124 eV/atom
crystal system = trigonal

Structure (POSCAR):
```
EuSbTe2
1.0
4.828 0.000 0.000
-2.414 4.181 0.000
0.000 0.000 20.358
Eu Sb Te
3 3 6
Direct
0.000 0.000 0.000 Eu
0.333 0.667 0.667 Eu
0.667 0.333 0.333 Eu
0.000 0.000 0.500 Sb
0.333 0.667 0.167 Sb
0.667 0.333 0.833 Sb
0.000 0.000 0.245 Te
0.000 0.000 0.755 Te
0.333 0.667 0.422 Te
0.333 0.667 0.912 Te
0.667 0.333 0.088 Te
0.667 0.333 0.578 Te
```

Record 2
Below is a relaxed Pm3Ga2Si2 crystal, with properties calculated at the GGA-PBE level.

## Properties
DFT total energy = -5.1398 eV/atom
crystal system = monoclinic

Structure (POSCAR):
```
Pm3Ga2Si2
1.0
10.910 0.000 0.000
0.000 4.345 0.000
-2.912 0.000 6.869
Pm Ga Si
6 4 4
Direct
0.000 0.000 0.000 Pm
0.179 0.000 0.626 Pm
0.321 0.500 0.374 Pm
0.500 0.500 0.000 Pm
0.679 0.500 0.626 Pm
0.821 0.000 0.374 Pm
0.189 0.500 0.929 Ga
0.311 0.000 0.071 Ga
0.689 0.000 0.929 Ga
0.811 0.500 0.071 Ga
0.028 0.500 0.346 Si
0.472 0.000 0.654 Si
0.528 0.000 0.346 Si
0.972 0.500 0.654 Si
```

| no. | total magnetic moment (μB per formula unit) | uncorrected formation energy (eV/atom) |
| --- | --- | --- |
| 1 | 7.08 | -0.64 |
| 2 | 0.00 | -0.69 |